VASP calculation (PBE) on crystalline Rb2HgSe at its relaxed geometry.

Results
Raw total energy ... -2.162 eV per atom
E_form (uncorrected) ... -0.731 eV per atom
Total magnetization ... 0.0 Bohr magnetons per cell
Relative energy among the computed polymorphs ... 0.61 kcal/mol of atoms
SG ... R3m (160)
DOS(E_F) ... 0.0000 states/eV/atom
Calculated density ... 3.8 Mg/m³

Geometry as CIF:
```
data_Rb2HgSe
_cell_length_a 5.468
_cell_length_b 5.468
_cell_length_c 8.217
_cell_angle_alpha 70.57
_cell_angle_beta 70.57
_cell_angle_gamma 60.00
_space_group_name_H-M_alt 'P 1'
_space_group_IT_number 1
loop_
_space_group_symop_operation_xyz
'x,y,z'
loop_
_atom_site_label
_atom_site_type_symbol
_atom_site_fract_x
_atom_site_fract_y
_atom_site_fract_z
_atom_site_occupancy
Rb1 Rb 0.057 0.057 0.830 1
Rb2 Rb 0.271 0.271 0.187 1
Hg1 Hg 0.519 0.519 0.443 1
Se1 Se 0.653 0.653 0.040 1
```